Entry 1:
Here is a geometry-optimized NiAg2W structure from Alexandria. Energies are from PBE.

Lattice parameters (Å, degrees): 7.2423 7.2423 5.1370 90.00 90.00 90.00
With the nearest neighbours (Å) after each atom.
Space group I-42d (No. 122)
Symmetry-distinct sites (fractional):
Ni 0.0000 0.0000 0.0000 [4 per cell]  4 Ag 2.52, 2 W 2.57
Ag 0.2243 0.2500 0.1250 [8 per cell]  2 Ni 2.52, 2 Ag 2.60, 2 W 2.77
W 0.0000 0.0000 0.5000 [4 per cell]  2 Ni 2.57, 4 Ag 2.77

Values from the calculation:
**Energy of formation from the pure elements**: 1146 meV/atom

Entry 2:
Here is a geometry-optimized NiAg2W structure from Alexandria. Energies are from PBE.

Lattice parameters (Å, degrees): 2.7912 2.7912 27.8392 90.00 90.00 120.00
With the nearest neighbours (Å) after each atom.
Space group R-3m (No. 166, hexagonal axes)
Symmetry-distinct sites (fractional):
Ni 0.0000 0.0000 0.0000 [3 per cell]  6 Ag 2.71, 6 Ni 2.79
Ag 0.0000 0.0000 0.2549 [6 per cell]  3 Ni 2.71, 6 Ag 2.79, 3 W 2.94
W 0.0000 0.0000 0.5000 [3 per cell]  6 W 2.79, 6 Ag 2.94

Values from the calculation:
**Energy of formation from the pure elements**: 473 meV/atom

In eV per atom, the distance to the lowest polymorph of the same formula values for the records above are, in order, 0.888; 0.216.
In g cm⁻³, the mass density values for the records above are, in order, 11.30; 12.15.